# 1
# Ba2LiTlC

A relaxed structure of Ba2LiTlC (GGA-PBE, Alexandria via LeMat-Bulk).

magnetic moment = 0.10 μB/f.u.
formation energy from the elements = 0.301 eV per atom

Geometry as POSCAR:
```
Ba2LiTlC
1.0
-2.1206 -0.2525 5.4550
4.0372 -0.6692 1.5385
0.7461 5.7836 0.5577
C Tl Ba Li
1 1 2 1
direct
0.0000 0.0000 0.0000
0.5000 0.5000 0.5000
0.0000 0.0000 0.5000
0.5000 0.0000 0.0000
0.0000 0.5000 0.0000
```



# 2
# KCd2Tc

A relaxed structure of KCd2Tc (GGA-PBE, Alexandria via LeMat-Bulk).

magnetic moment = 0.00 μB/f.u.
formation energy from the elements = 0.569 eV per atom
energy above the lowest structure with this stoichiometry = 0.0732 eV per atom

Geometry as POSCAR:
```
KCd2Tc
1.0
-7.2458 -1.0969 -8.3136
-7.3577 -3.9325 -7.2951
-9.1055 -1.8139 -6.0513
Cd K Tc
2 1 1
direct
0.0112 0.0112 0.0112
0.4888 0.4888 0.4888
0.2500 0.2500 0.2500
0.7500 0.7500 0.7500
```



# 3
# ErPa2AlC4

A relaxed structure of ErPa2AlC4 (GGA-PBE, Alexandria via LeMat-Bulk).

magnetic moment = 0.00 μB/f.u.
formation energy from the elements = -0.228 eV per atom

Geometry as POSCAR:
```
ErPa2AlC4
1.0
3.6037 0.0000 0.0000
-1.8018 5.8093 0.0000
0.0000 0.0000 11.8761
Er Pa Al C
2 4 2 8
direct
0.1098 0.2195 0.7500
0.8902 0.7805 0.2500
0.3704 0.7408 0.5517
0.6296 0.2592 0.0517
0.6296 0.2592 0.4483
0.3704 0.7408 0.9483
0.8474 0.6949 0.7500
0.1526 0.3051 0.2500
0.2576 0.5152 0.1171
0.7424 0.4848 0.6171
0.7424 0.4848 0.8829
0.2576 0.5152 0.3829
0.0000 0.0000 0.5000
0.0000 0.0000 0.0000
0.4431 0.8862 0.7500
0.5569 0.1138 0.2500
```



# 4
# BeCN2

A relaxed structure of BeCN2 (GGA-PBE, Alexandria via LeMat-Bulk).

magnetic moment = 0.00 μB/f.u.
energy relative to the elements, uncorrected = -0.268 eV/atom

Geometry as POSCAR:
```
BeCN2
1.0
-1.3011 -2.9764 2.1181
0.7001 -1.5971 -1.8143
2.2649 -0.2263 1.0732
Be C N
1 1 2
direct
0.7715 0.2633 0.4093
0.2715 0.7634 0.9093
0.0508 0.2634 0.9093
0.4922 0.7634 0.4093
```



# 5
# Tb3Pm4Zn

A relaxed structure of Tb3Pm4Zn (GGA-PBE, Alexandria via LeMat-Bulk).

magnetic moment = 0.00 μB/f.u.
formation energy from the elements = -0.067 eV per atom

Geometry as POSCAR:
```
Tb3Pm4Zn
1.0
-2.9506 1.9272 0.8753
-1.5499 -2.9898 1.3584
7.4913 3.7942 16.8986
Zn Tb Pm
1 3 4
direct
0.5000 0.5000 0.0000
0.5000 0.5000 0.2332
0.5000 0.5000 0.5000
0.5000 0.5000 0.7668
0.0000 0.0000 0.9032
0.0000 0.0000 0.0968
0.0000 0.0000 0.3661
0.0000 0.0000 0.6339
```



# 6
# K2DyPa2Se6

A relaxed structure of K2DyPa2Se6 (GGA-PBE, Alexandria via LeMat-Bulk).

magnetic moment = 3.03 μB/f.u.
energy relative to the elements, uncorrected = -1.496 eV/atom

Geometry as POSCAR:
```
K2DyPa2Se6
1.0
7.1814 -0.0048 0.0826
-3.5536 6.2406 0.0826
-1.2696 -2.1823 7.8790
K Dy Pa Se
2 1 2 6
direct
0.8333 0.1667 0.0000
0.1667 0.8333 0.0000
0.0000 0.0000 0.5000
0.3362 0.6638 0.5000
0.6638 0.3362 0.5000
0.7367 0.7367 0.7068
0.0655 0.4014 0.7026
0.2633 0.2633 0.2932
0.4014 0.0655 0.7026
0.9345 0.5986 0.2974
0.5986 0.9345 0.2974
```



# 7
# La2TmCu

A relaxed structure of La2TmCu (GGA-PBE, Alexandria via LeMat-Bulk).

magnetic moment = 0.00 μB/f.u.
formation energy from the elements = 0.070 eV per atom
energy above the lowest structure with this stoichiometry = 0.1011 eV per atom

Geometry as POSCAR:
```
La2TmCu
1.0
-0.4625 3.6733 0.4458
-2.8042 1.2854 2.0952
4.8426 1.4190 8.9293
La Tm Cu
2 1 1
direct
0.0708 0.0708 0.7875
0.2627 0.2627 0.2118
0.4990 0.4990 0.5029
0.6674 0.6674 0.9978
```



# 8
# FeRe2Pt

A relaxed structure of FeRe2Pt (GGA-PBE, Alexandria via LeMat-Bulk).

magnetic moment = 2.05 μB/f.u.
formation energy from the elements = 0.027 eV per atom
energy above the lowest structure with this stoichiometry = 0.0483 eV per atom

Geometry as POSCAR:
```
FeRe2Pt
1.0
4.7218 0.0187 -0.0212
3.9488 2.5891 -0.0212
0.7642 0.2298 4.7193
Fe Pt Re
1 1 2
direct
0.5029 0.5029 0.4996
0.7505 0.7505 0.7401
0.0011 0.0011 0.0094
0.2454 0.2454 0.2509
```



# 9
# CaBeP2Cl

A relaxed structure of CaBeP2Cl (GGA-PBE, Alexandria via LeMat-Bulk).

magnetic moment = 0.00 μB/f.u.
energy above the lowest structure with this stoichiometry = 0.0000 eV per atom
energy relative to the elements, uncorrected = -0.460 eV/atom

Geometry as POSCAR:
```
CaBeP2Cl
1.0
-4.0406 -0.6706 0.5674
0.8464 -3.6867 1.6702
0.3327 2.4747 5.2937
P Ca Be Cl
2 1 1 1
direct
0.0000 0.5000 0.0000
0.5000 0.0000 0.0000
0.5000 0.5000 0.5000
0.0000 0.0000 0.0000
0.0000 0.0000 0.5000
```



# 10
# ZnCoAg

A relaxed structure of ZnCoAg (GGA-PBE, Alexandria via LeMat-Bulk).

magnetic moment = 1.29 μB/f.u.
formation energy from the elements = 0.541 eV per atom
energy above the lowest structure with this stoichiometry = 0.3950 eV per atom

Geometry as POSCAR:
```
ZnCoAg
1.0
-2.6195 -3.2213 -0.1445
0.7365 -3.3810 2.2990
-2.4192 -0.8582 3.2665
Ag Co Zn
1 1 1
direct
0.5000 0.5000 0.5000
0.7500 0.7500 0.7500
0.0000 0.0000 0.0000
```



# 11
# PmHgGe

A relaxed structure of PmHgGe (GGA-PBE, Alexandria via LeMat-Bulk).

magnetic moment = 0.00 μB/f.u.
formation energy from the elements = -0.372 eV per atom
energy above the lowest structure with this stoichiometry = 0.2021 eV per atom

Geometry as POSCAR:
```
PmHgGe
1.0
-0.6161 -1.8411 -4.4077
0.4850 -4.7374 -0.7204
-3.8716 -2.6982 -0.9633
Ge Hg Pm
1 1 1
direct
0.2500 0.2500 0.2500
0.0000 0.0000 0.0000
0.5000 0.5000 0.5000
```



# 12
# Zr6Al2NiH10

A relaxed structure of Zr6Al2NiH10 (GGA-PBE, Alexandria via LeMat-Bulk).

energy = -213.86 eV per cell
magnetic moment = 0.00 μB/f.u.

Geometry as POSCAR:
```
Zr6Al2NiH10
1.0
-6.2713 -3.8990 3.2835
2.1810 -1.5538 -7.6251
4.4398 -5.1823 2.3260
Zr Al Ni H
12 4 2 20
direct
0.5796 0.6277 0.7500
0.3723 0.9518 0.7500
0.0482 0.4204 0.7500
0.6277 0.5796 0.2500
0.9518 0.3723 0.2500
0.4204 0.0482 0.2500
0.2634 0.2634 0.0000
0.7366 0.0000 0.0000
0.0000 0.7366 0.0000
0.2634 0.2634 0.5000
0.7366 0.0000 0.5000
0.0000 0.7366 0.5000
0.6667 0.3333 0.9487
0.6667 0.3333 0.5513
0.3333 0.6667 0.4487
0.3333 0.6667 0.0513
0.0000 0.0000 0.7500
0.0000 0.0000 0.2500
0.8801 0.1193 0.7500
0.8807 0.7608 0.7500
0.2392 0.1199 0.7500
0.1193 0.8801 0.2500
0.7608 0.8807 0.2500
0.1199 0.2392 0.2500
0.5923 0.8882 0.7500
0.1118 0.7041 0.7500
0.2959 0.4077 0.7500
0.8882 0.5923 0.2500
0.7041 0.1118 0.2500
0.4077 0.2959 0.2500
0.7219 0.7219 0.0000
0.2781 0.0000 0.0000
0.0000 0.2781 0.0000
0.7219 0.7219 0.5000
0.2781 0.0000 0.5000
0.0000 0.2781 0.5000
0.0000 0.0000 0.0000
0.0000 0.0000 0.5000
```